No. 1
Below is crystalline Rb2TlInS4 at its relaxed geometry, with properties calculated at the PBE level.

a b c (Å): 7.0088 7.0088 7.0088
angles (deg): 115.14 115.14 98.64
Last column: nearest neighbours and their distance in Å.
Element x y z (fractional)
Rb 0.0000 0.0000 0.0000  4 S 3.35
Rb 0.7500 0.2500 0.5000  4 S 3.31
Tl 0.2500 0.7500 0.5000  4 S 2.57
In 0.5000 0.5000 0.0000  4 S 2.49
S 0.2099 0.1328 0.5880  1 In 2.49, 1 Tl 2.57
S 0.3782 0.7901 0.9229  1 In 2.49, 1 Tl 2.57
S 0.5448 0.6218 0.4120  1 In 2.49, 1 Tl 2.57
S 0.8672 0.4552 0.0771  1 In 2.49, 1 Tl 2.57

Properties
- SG = I-4 (82)
- energy relative to the elements, uncorrected (eV/atom) = -0.760
- magnetic moment (μB/f.u.) = 0.00

No. 2
Below is crystalline NdZn4Ir2 at its relaxed geometry, with properties calculated at the PBE level.

a b c (Å): 7.7353 7.7353 4.1057
angles (deg): 90.00 90.00 90.00
Last column: nearest neighbours and their distance in Å.
Element x y z (fractional)
Nd 0.0000 0.0000 0.0000  6 Ir 3.12, 12 Zn 3.38-3.45
Nd 0.5000 0.5000 0.5000  6 Ir 3.12, 12 Zn 3.38-3.45
Zn 0.0912 0.3462 0.5000  3 Ir 2.58-2.59, 6 Zn 2.77-2.84
Zn 0.1538 0.5912 0.0000  3 Ir 2.58-2.59, 6 Zn 2.77-2.84
Zn 0.3462 0.0912 0.5000  3 Ir 2.58-2.59, 6 Zn 2.77-2.84
Zn 0.4088 0.8462 0.0000  3 Ir 2.58-2.59, 6 Zn 2.77-2.84
Zn 0.5912 0.1538 0.0000  3 Ir 2.58-2.59, 6 Zn 2.77-2.84
Zn 0.6538 0.9088 0.5000  3 Ir 2.58-2.59, 6 Zn 2.77-2.84
Zn 0.8462 0.4088 0.0000  3 Ir 2.58-2.59, 6 Zn 2.77-2.84
Zn 0.9088 0.6538 0.5000  3 Ir 2.58-2.59, 6 Zn 2.77-2.84
Ir 0.2146 0.7854 0.5000  6 Zn 2.58-2.59
Ir 0.2854 0.2854 0.0000  6 Zn 2.58-2.59
Ir 0.7146 0.7146 0.0000  6 Zn 2.58-2.59
Ir 0.7854 0.2146 0.5000  6 Zn 2.58-2.59

Properties
- SG = P4_2/mnm (136)
- N(E_F) (states/eV/cell) = 3.84
- calculated total energy (eV per atom) = -4.328
- magnetic moment (μB/f.u.) = 0.00

No. 3
Below is crystalline TbSmZnIr at its relaxed geometry, with properties calculated at the PBE level.

a b c (Å): 4.9941 4.9941 4.9941
angles (deg): 60.00 60.00 60.00
Last column: nearest neighbours and their distance in Å.
Element x y z (fractional)
Tb 0.0000 0.0000 0.0000  4 Ir 3.06, 4 Zn 3.06
Sm 0.5000 0.5000 0.5000  4 Ir 3.06, 4 Zn 3.06
Zn 0.2500 0.2500 0.2500  4 Tb 3.06, 4 Sm 3.06
Ir 0.7500 0.7500 0.7500  4 Tb 3.06, 4 Sm 3.06

Properties
- SG = F-43m (216)
- N(E_F) (states/eV/cell) = 2.43
- E above lowest polymorph (eV/atom) = 0.007
- magnetic moment (μB/f.u.) = 0.00

- Number 1 is which compound?
  Rb2TlInS4

Please write out number 1 again, unchanged.
Below is crystalline Rb2TlInS4 at its relaxed geometry, with properties calculated at the PBE level.

a b c (Å): 7.0088 7.0088 7.0088
angles (deg): 115.14 115.14 98.64
Last column: nearest neighbours and their distance in Å.
Element x y z (fractional)
Rb 0.0000 0.0000 0.0000  4 S 3.35
Rb 0.7500 0.2500 0.5000  4 S 3.31
Tl 0.2500 0.7500 0.5000  4 S 2.57
In 0.5000 0.5000 0.0000  4 S 2.49
S 0.2099 0.1328 0.5880  1 In 2.49, 1 Tl 2.57
S 0.3782 0.7901 0.9229  1 In 2.49, 1 Tl 2.57
S 0.5448 0.6218 0.4120  1 In 2.49, 1 Tl 2.57
S 0.8672 0.4552 0.0771  1 In 2.49, 1 Tl 2.57

Properties
- SG = I-4 (82)
- energy relative to the elements, uncorrected (eV/atom) = -0.760
- magnetic moment (μB/f.u.) = 0.00